DFT (PBE-GGA) results for Sm7Tl5Ag after structural relaxation.

Properties
Its symmetry is Imm2, No. 44. The calculation puts the energy of formation at -139 meV/atom. Its total energy is -49.5 eV for the cell shown. The mass density is 9.184 g cm⁻³.

Geometry as extended XYZ:
```
13
Lattice="-3.3810 5.3368 5.4668 3.3810 -5.3368 5.4668 3.3810 5.3368 -5.4668" Properties=species:S:1:pos:R:3 pbc="T T T"
Sm 0.0000 0.0000 0.0000
Sm 3.3810 2.0789 1.0338
Sm 0.0000 0.0000 4.0971
Sm 0.0000 3.5356 0.8470
Sm 0.0000 7.1380 0.8470
Sm 0.0000 5.3368 3.5809
Sm 0.0000 3.2579 6.5005
Tl 1.6308 2.5208 -1.7544
Tl 5.1313 2.5208 -1.7544
Tl 3.3810 0.0000 3.5163
Tl -1.7502 2.8159 3.7123
Tl 1.7502 2.8159 3.7123
Ag 0.0000 0.0000 7.3545
```